No. 1
CaRh2Cl after structural relaxation. Source: the Alexandria database, functional PBE.

Cell and atoms, written as extended XYZ:
```
4
Lattice="2.597 -4.670 0.000 2.597 4.670 0.000 0.000 0.000 3.096" Properties=species:S:1:pos:R:3 pbc="T T T"
Ca 0.000 0.000 0.000
Rh 1.298 2.335 1.548
Rh 1.298 -2.335 1.548
Cl 2.597 0.000 0.000
```

Results
* uncorrected formation energy: 0.102 eV/atom
* energy above the lowest structure with this stoichiometry: 565 meV per atom
* space-group type: Cmmm (65)
* VASP energy: -4.536 eV per atom

No. 2
CaRh2Cl after structural relaxation. Source: the Alexandria database, functional PBE.

Cell and atoms, written as extended XYZ:
```
4
Lattice="3.214 0.000 0.000 0.000 3.562 0.000 -1.598 0.000 7.264" Properties=species:S:1:pos:R:3 pbc="T T T"
Ca 0.000 0.000 0.000
Rh 0.001 1.781 5.187
Rh 1.608 0.000 4.324
Cl 1.607 1.781 1.475
```

Results
* uncorrected formation energy: -0.463 eV/atom
* energy above the lowest structure with this stoichiometry: 0 meV per atom
* space-group type: Pm (6)
* VASP energy: -5.101 eV per atom

No. 3
CaRhCl2 after structural relaxation. Source: the Alexandria database, functional PBE.

Cell and atoms, written as extended XYZ:
```
4
Lattice="2.020 1.166 7.460 -2.020 1.166 7.460 0.000 -2.332 7.460" Properties=species:S:1:pos:R:3 pbc="T T T"
Ca 0.000 0.000 0.000
Rh 0.000 0.000 11.190
Cl 0.000 0.000 8.868
Cl 0.000 0.000 13.512
```

Results
* uncorrected formation energy: -0.865 eV/atom
* energy above the lowest structure with this stoichiometry: 130 meV per atom
* space-group type: R-3m (166)
* VASP energy: -4.126 eV per atom

No. 4
CaRh2Cl after structural relaxation. Source: the Alexandria database, functional PBE.

Cell and atoms, written as extended XYZ:
```
8
Lattice="-2.500 2.500 7.444 2.500 -2.500 7.444 2.500 2.500 -7.444" Properties=species:S:1:pos:R:3 pbc="T T T"
Ca 0.000 0.000 0.000
Ca 0.000 2.500 3.722
Rh 1.250 -0.323 5.583
Rh 2.178 1.250 1.861
Rh 1.250 2.823 -1.861
Rh 0.323 1.250 9.305
Cl 2.500 0.000 3.722
Cl 0.000 0.000 7.444
```

Results
* uncorrected formation energy: -0.041 eV/atom
* energy above the lowest structure with this stoichiometry: 422 meV per atom
* space-group type: I-42d (122)
* VASP energy: -4.679 eV per atom

No. 5
CaRhCl2 after structural relaxation. Source: the Alexandria database, functional PBE.

Cell and atoms, written as extended XYZ:
```
8
Lattice="-2.408 2.408 7.885 2.408 -2.408 7.885 2.408 2.408 -7.885" Properties=species:S:1:pos:R:3 pbc="T T T"
Ca 0.000 0.000 0.000
Ca 0.000 2.408 3.943
Rh 2.408 0.000 3.943
Rh 0.000 0.000 7.885
Cl 1.204 -1.031 5.914
Cl 1.377 1.204 1.971
Cl 1.204 3.439 -1.971
Cl 1.031 1.204 9.857
```

Results
* uncorrected formation energy: -0.863 eV/atom
* energy above the lowest structure with this stoichiometry: 132 meV per atom
* space-group type: I-42d (122)
* VASP energy: -4.125 eV per atom

No. 6
CaRhCl2 after structural relaxation. Source: the Alexandria database, functional PBE.

Cell and atoms, written as extended XYZ:
```
4
Lattice="5.141 -1.869 0.000 5.141 1.869 0.000 -0.075 0.000 4.813" Properties=species:S:1:pos:R:3 pbc="T T T"
Ca 0.000 0.000 0.000
Rh 3.018 0.000 3.708
Cl 4.936 0.000 2.215
Cl 7.434 0.000 0.022
```

Results
* uncorrected formation energy: -0.934 eV/atom
* energy above the lowest structure with this stoichiometry: 60 meV per atom
* space-group type: Cm (8)
* VASP energy: -4.196 eV per atom

No. 7
CaRhCl2 after structural relaxation. Source: the Alexandria database, functional PBE.

Cell and atoms, written as extended XYZ:
```
4
Lattice="4.602 0.000 0.000 0.000 4.602 0.000 0.000 0.000 3.600" Properties=species:S:1:pos:R:3 pbc="T T T"
Ca 0.000 0.000 0.000
Rh 2.301 2.301 0.000
Cl 0.000 2.301 1.800
Cl 2.301 0.000 1.800
```

Results
* uncorrected formation energy: -0.745 eV/atom
* energy above the lowest structure with this stoichiometry: 249 meV per atom
* space-group type: P4/mmm (123)
* VASP energy: -4.007 eV per atom

No. 8
CaRh2Cl after structural relaxation. Source: the Alexandria database, functional PBE.

Cell and atoms, written as extended XYZ:
```
4
Lattice="3.103 0.000 0.000 0.000 4.846 0.000 0.000 0.000 5.087" Properties=species:S:1:pos:R:3 pbc="T T T"
Ca 0.000 0.000 0.000
Rh 1.551 2.423 1.271
Rh 1.551 2.423 3.816
Cl 0.000 0.000 2.543
```

Results
* uncorrected formation energy: 0.024 eV/atom
* energy above the lowest structure with this stoichiometry: 487 meV per atom
* space-group type: Pmmm (47)
* VASP energy: -4.614 eV per atom